Density functional theory data (GGA-PBE) for a relaxed structure of Dy4YTm2Te2Pd2.

Results
The value obtained for the spin magnetization is 0.01 μB/f.u. The calculation puts the calculated total energy at -5.4478 eV per atom.

Geometry as CIF:
```
data_Dy4YTm2Te2Pd2
_chemical_formula_sum 'Dy8 Y2 Tm4 Te4 Pd4'
_symmetry_space_group_name_H-M 'I m m 2'
_symmetry_Int_Tables_number 44
_cell_length_a 3.931
_cell_length_b 15.691
_cell_length_c 9.609
_cell_angle_alpha 90.00
_cell_angle_beta 90.00
_cell_angle_gamma 90.00
loop_
_symmetry_equiv_pos_as_xyz
'x,y,z'
'-x,-y,z'
'-x,y,z'
'x,-y,z'
'x+1/2,y+1/2,z+1/2'
'-x+1/2,-y+1/2,z+1/2'
'-x+1/2,y+1/2,z+1/2'
'x+1/2,-y+1/2,z+1/2'
loop_
_atom_site_label
_atom_site_type_symbol
_atom_site_fract_x
_atom_site_fract_y
_atom_site_fract_z
_atom_site_occupancy
Dy1 Dy 0.000 0.129 0.000 1
Dy2 Dy 0.000 0.355 0.848 1
Y1 Y 0.000 0.000 0.584 1
Tm1 Tm 0.000 0.317 0.208 1
Te1 Te 0.000 0.000 0.247 1
Te2 Te 0.000 0.500 0.347 1
Pd1 Pd 0.000 0.237 0.515 1
```